Record 1
The following is a PBE calculation of a relaxed Sr2SmPuS4 crystal, from the Alexandria database.

Lattice parameters (Å, degrees): 7.104 4.104 7.227 90.00 109.24 90.00
Positions (direct):
Sr1 0.000 0.000 0.000
Sr2 0.500 0.500 0.000
Sm1 0.000 0.500 0.500
Pu1 0.500 0.000 0.500
S1 0.245 0.000 0.735
S2 0.257 0.500 0.267
S3 0.743 0.500 0.733
S4 0.755 0.000 0.265

E_tot ... -0.5021 Ry per atom
Energy relative to the elements, uncorrected ... -1965 meV per atom

---

Record 2
The following is a PBE calculation of a relaxed NiHgCl2 crystal, from the Alexandria database.

Lattice parameters (Å, degrees): 3.708 3.815 6.497 90.00 90.00 90.00
Positions (direct):
Ni1 0.000 0.000 0.000
Hg1 0.500 0.000 0.500
Cl1 0.000 0.500 0.500
Cl2 0.500 0.500 0.000

E_tot ... -0.1668 Ry per atom
Distance to the lowest polymorph of the same formula ... 602 meV per atom
Energy relative to the elements, uncorrected ... 174 meV per atom

---

Record 3
The following is a PBE calculation of a relaxed Tm4SiAsSe2 crystal, from the Alexandria database.

Lattice parameters (Å, degrees): 7.025 4.052 7.037 90.00 109.35 90.00
Positions (direct):
Tm1 0.241 0.000 0.235
Tm2 0.250 0.500 0.765
Tm3 0.750 0.500 0.235
Tm4 0.759 0.000 0.765
Si1 0.000 0.500 0.000
As1 0.500 0.000 0.000
Se1 0.000 0.000 0.500
Se2 0.500 0.500 0.500

E_tot ... -0.4302 Ry per atom
Energy relative to the elements, uncorrected ... -1487 meV per atom

---

Record 4
The following is a PBE calculation of a relaxed TaMnRe2 crystal, from the Alexandria database.

Lattice parameters (Å, degrees): 2.709 4.390 5.176 90.00 100.24 90.00
Positions (direct):
Ta1 0.000 0.000 0.000
Mn1 0.742 0.500 0.242
Re1 0.241 0.500 0.733
Re2 0.499 0.000 0.493

E_tot ... -0.8448 Ry per atom

---

Record 5
The following is a PBE calculation of a relaxed TaIn3Rh crystal, from the Alexandria database.

Lattice parameters (Å, degrees): 4.995 4.995 4.995 90.00 90.00 90.00
Positions (direct):
Ta1 0.000 0.000 0.000
In1 0.000 0.500 0.500
In2 0.500 0.000 0.500
In3 0.500 0.500 0.000
Rh1 0.500 0.500 0.500

E_tot ... -0.3436 Ry per atom
Distance to the lowest polymorph of the same formula ... 0 meV per atom

---

Record 6
The following is a PBE calculation of a relaxed Cd2TcBiO6 crystal, from the Alexandria database.

Lattice parameters (Å, degrees): 5.771 5.771 5.010 90.00 90.00 90.00
Positions (direct):
Cd1 0.000 0.500 0.000
Cd2 0.500 0.000 0.000
Tc1 0.000 0.000 0.634
Bi1 0.500 0.500 0.626
O1 0.000 0.000 0.292
O2 0.223 0.223 0.776
O3 0.223 0.777 0.776
O4 0.500 0.500 0.207
O5 0.777 0.223 0.776
O6 0.777 0.777 0.776

E_tot ... -0.4113 Ry per atom
Energy relative to the elements, uncorrected ... -1014 meV per atom

---

Record 7
The following is a PBE calculation of a relaxed Zn2AgPd5Au2 crystal, from the Alexandria database.

Lattice parameters (Å, degrees): 9.071 9.071 3.981 90.00 90.00 90.00
Positions (direct):
Zn1 0.127 0.373 0.000
Zn2 0.373 0.873 0.000
Zn3 0.627 0.127 0.000
Zn4 0.873 0.627 0.000
Ag1 0.000 0.000 0.000
Ag2 0.500 0.500 0.000
Pd1 0.000 0.500 0.500
Pd2 0.083 0.199 0.500
Pd3 0.199 0.917 0.500
Pd4 0.301 0.417 0.500
Pd5 0.417 0.699 0.500
Pd6 0.500 0.000 0.500
Pd7 0.583 0.301 0.500
Pd8 0.699 0.583 0.500
Pd9 0.801 0.083 0.500
Pd10 0.917 0.801 0.500
Au1 0.169 0.669 0.000
Au2 0.331 0.169 0.000
Au3 0.669 0.831 0.000
Au4 0.831 0.331 0.000

E_tot ... -0.2905 Ry per atom

---

Record 8
The following is a PBE calculation of a relaxed FeReTeC2 crystal, from the Alexandria database.

Lattice parameters (Å, degrees): 3.963 3.963 5.276 90.00 90.00 90.00
Positions (direct):
Fe1 0.000 0.000 0.000
Re1 0.000 0.000 0.500
Te1 0.500 0.500 0.000
C1 0.000 0.500 0.500
C2 0.500 0.000 0.500

E_tot ... -0.5184 Ry per atom
Energy relative to the elements, uncorrected ... 1447 meV per atom

---

> What is the E_tot in the first record?

-0.5021 Ry per atom

---

> E_tot of number 6 (Cd2TcBiO6)?

-0.4113 Ry per atom

---

> The highest E_tot belongs to which entry?

NiHgCl2